## ZnTc3Pt (GGA-PBE)

Data for an optimized crystal structure of ZnTc3Pt.

Properties
Symmetry   No. 221
D(E_F)   1.483 states/eV per atom
Magnetic moment   0.00 μB/atom
Energy of formation from the pure elements   1632.0 meV per atom
Energy above the lowest structure with this stoichiometry   0.0000 eV per atom

Unit cell a=4.430 b=4.430 c=4.430 alpha=90.00 beta=90.00 gamma=90.00
Positions (direct):
Zn  0.000  0.000  0.000
Tc  0.000  0.000  0.500
Tc  0.000  0.500  0.000
Tc  0.500  0.000  0.000
Pt  0.500  0.500  0.500

***

## ZnTc2Pt (GGA-PBE)

Data for an optimized crystal structure of ZnTc2Pt.

Properties
Symmetry   No. 160
D(E_F)   0.280 states/eV per atom
Magnetic moment   0.00 μB/atom
Energy of formation from the pure elements   -165.8 meV per atom

Unit cell a=9.039 b=9.039 c=9.039 alpha=17.60 beta=17.60 gamma=17.60
Positions (direct):
Zn  0.000  0.000  0.000
Tc  0.496  0.496  0.496
Tc  0.752  0.752  0.752
Pt  0.251  0.251  0.251

***

## ZnTcPt2 (GGA-PBE)

Data for an optimized crystal structure of ZnTcPt2.

Properties
Symmetry   No. 12
D(E_F)   1.218 states/eV per atom
Magnetic moment   0.00 μB/atom
Energy of formation from the pure elements   -122.9 meV per atom

Unit cell a=4.764 b=4.764 c=4.840 alpha=97.84 beta=97.84 gamma=33.45
Positions (direct):
Zn  0.000  0.000  0.000
Tc  0.500  0.500  0.500
Pt  0.247  0.247  0.746
Pt  0.753  0.753  0.254

***

## ZnTcPt2 (GGA-PBE)

Data for an optimized crystal structure of ZnTcPt2.

Properties
Symmetry   No. 25
D(E_F)   0.689 states/eV per atom
Magnetic moment   0.00 μB/atom
Energy of formation from the pure elements   -154.8 meV per atom

Unit cell a=2.771 b=3.847 c=5.654 alpha=90.00 beta=90.00 gamma=90.00
Positions (direct):
Zn  0.000  0.000  0.000
Tc  0.500  0.500  0.722
Pt  0.000  0.000  0.512
Pt  0.500  0.500  0.218

***

## ZnTcPt2 (GGA-PBE)

Data for an optimized crystal structure of ZnTcPt2.

Properties
Symmetry   No. 123
D(E_F)   0.845 states/eV per atom
Magnetic moment   0.00 μB/atom
Energy of formation from the pure elements   -317.7 meV per atom

Unit cell a=2.759 b=2.759 c=7.815 alpha=90.00 beta=90.00 gamma=90.00
Positions (direct):
Zn  0.000  0.000  0.000
Tc  0.000  0.000  0.500
Pt  0.500  0.500  0.252
Pt  0.500  0.500  0.748

***

## ZnTc2Pt (GGA-PBE)

Data for an optimized crystal structure of ZnTc2Pt.

Properties
Symmetry   No. 99
D(E_F)   0.718 states/eV per atom
Magnetic moment   0.00 μB/atom
Energy of formation from the pure elements   -138.1 meV per atom

Unit cell a=2.806 b=2.806 c=7.464 alpha=90.00 beta=90.00 gamma=90.00
Positions (direct):
Zn  0.000  0.000  0.000
Tc  0.000  0.000  0.514
Tc  0.500  0.500  0.744
Pt  0.500  0.500  0.246